Entry 1:
# NaNiH3

A geometry-optimized NaNiH3 structure (GGA-PBE, the Alexandria database).

N(E_F)   8.36 states/eV per cell
VASP energy   -3.503 eV per atom
Crystal system   monoclinic

Cell lengths 7.2862, 11.1912, 5.0122 Å; angles 90.00, 91.39, 90.00 degrees
Space group C2/c (No. 15)
Unique sites:
Na  0.0000  0.0797  0.2500 (multiplicity 4)
Na  0.0000  0.2724  0.7500 (multiplicity 4)
Ni  0.1530  0.4597  0.3955 (multiplicity 8)
H  0.0753  0.4189  0.0904 (multiplicity 8)
H  0.1601  0.1025  0.6583 (multiplicity 8)
H  0.2002  0.4225  0.6950 (multiplicity 8)

Entry 2:
# CrAs3S

A geometry-optimized CrAs3S structure (GGA-PBE, the Alexandria database).

E above lowest polymorph   460 meV/atom
N(E_F)   2.30 states/eV per cell
VASP energy   -4.701 eV per atom
Crystal system   cubic
Formation energy from raw total energies   19.35 kcal/mol of atoms

Cell lengths 4.7579, 4.7579, 4.7579 Å; angles 90.00, 90.00, 90.00 degrees
Space group Pm-3m (No. 221)
Unique sites:
Cr  0.0000  0.0000  0.0000 (multiplicity 1)
As  0.0000  0.5000  0.5000 (multiplicity 3)
S  0.5000  0.5000  0.5000 (multiplicity 1)

Entry 3:
# Ho3Tm2Zr

A geometry-optimized Ho3Tm2Zr structure (GGA-PBE, the Alexandria database).

E above lowest polymorph   9 meV/atom
N(E_F)   15.42 states/eV per cell
VASP energy   -5.151 eV per atom
DFT formation energy   0.3 eV per formula unit
Crystal system   monoclinic

Cell lengths 6.9423, 3.4381, 14.6003 Å; angles 90.00, 90.05, 90.00 degrees
Space group P2_1/m (No. 11)
Unique sites:
Ho  0.1163  0.2500  0.4107 (multiplicity 2)
Ho  0.3646  0.7500  0.9122 (multiplicity 2)
Ho  0.3793  0.7500  0.2498 (multiplicity 2)
Tm  0.1151  0.2500  0.0902 (multiplicity 2)
Tm  0.3648  0.7500  0.5885 (multiplicity 2)
Zr  0.1281  0.2500  0.7500 (multiplicity 2)

> The highest N(E_F) belongs to which entry?

Ho3Tm2Zr